# 1
Below is an optimized crystal structure of Sr2MoSe, with properties calculated at the PBE level.

Structure (CIF):
```
data_Sr2MoSe
_chemical_formula_sum 'Sr2 Mo1 Se1'
_symmetry_space_group_name_H-M 'P 4 m m'
_symmetry_Int_Tables_number 99
_cell_length_a 3.516
_cell_length_b 3.516
_cell_length_c 9.145
_cell_angle_alpha 90.00
_cell_angle_beta 90.00
_cell_angle_gamma 90.00
loop_
_symmetry_equiv_pos_as_xyz
'x,y,z'
'-y,x,z'
'-x,-y,z'
'y,-x,z'
'-x,y,z'
'y,x,z'
'x,-y,z'
'-y,-x,z'
loop_
_atom_site_label
_atom_site_fract_x
_atom_site_fract_y
_atom_site_fract_z
Sr1 0.000 0.000 0.000
Sr2 0.500 0.500 0.400
Mo1 0.000 0.000 0.654
Se1 0.500 0.500 0.761
```


# 2
Below is an optimized crystal structure of Pa2Si2Rh5, with properties calculated at the PBE level.

Structure (CIF):
```
data_Pa2Si2Rh5
_chemical_formula_sum 'Pa2 Si2 Rh5'
_symmetry_space_group_name_H-M 'P 4/m m m'
_symmetry_Int_Tables_number 123
_symmetry_space_group_name_Hall '-P 4 2'
_cell_length_a 4.098
_cell_length_b 4.098
_cell_length_c 8.898
_cell_angle_alpha 90.00
_cell_angle_beta 90.00
_cell_angle_gamma 90.00
loop_
_atom_site_label
_atom_site_fract_x
_atom_site_fract_y
_atom_site_fract_z
Pa1 0.000 0.000 0.000
Pa2 0.000 0.000 0.500
Si1 0.500 0.500 0.132
Rh1 0.000 0.500 0.269
Rh2 0.500 0.500 0.500
```


# 3
# K2ZrCl, relaxed, DFT PBE
# relative energy among the computed polymorphs	777	meV per atom
data_K2ZrCl
_chemical_formula_sum 'K8 Zr4 Cl4'
_symmetry_space_group_name_H-M 'F -4 3 m'
_symmetry_Int_Tables_number 216
_symmetry_space_group_name_Hall 'F -4 2 3'
_cell_length_a 8.482
_cell_length_b 8.482
_cell_length_c 8.482
_cell_angle_alpha 90.00
_cell_angle_beta 90.00
_cell_angle_gamma 90.00
loop_
_atom_site_label
_atom_site_fract_x
_atom_site_fract_y
_atom_site_fract_z
K1 0.000 0.000 0.000
K2 0.250 0.250 0.250
Zr1 0.250 0.250 0.750
Cl1 0.000 0.000 0.500


# 4
Below is an optimized crystal structure of AcErHg3, with properties calculated at the PBE level.

Structure (CIF):
```
data_AcErHg3
_chemical_formula_sum 'Ac4 Er4 Hg12'
_symmetry_space_group_name_H-M 'C m c m'
_symmetry_Int_Tables_number 63
_symmetry_space_group_name_Hall '-C 2c 2'
_cell_length_a 3.790
_cell_length_b 29.542
_cell_length_c 5.009
_cell_angle_alpha 90.00
_cell_angle_beta 90.00
_cell_angle_gamma 90.00
loop_
_atom_site_label
_atom_site_fract_x
_atom_site_fract_y
_atom_site_fract_z
Ac1 0.000 0.078 0.250
Er1 0.000 0.210 0.750
Hg1 0.000 0.312 0.750
Hg2 0.000 0.373 0.250
Hg3 0.000 0.475 0.250
```


no.,energy (eV per atom),V (Å³/atom)
1,-4.42,28.3
2,-8.38,16.6
3,-2.65,38.1
4,-2.36,28.0